No. 1
This record from the Alexandria database describes a relaxed structure of Rb3Cd2I7. The functional is PBE.

Geometry as POSCAR:
```
Rb3Cd2I7
1.0
3.038 -15.181 0.000
3.038 15.181 0.000
0.000 0.000 5.984
Rb Cd I
3 2 7
Cartesian
0.000 0.000 0.000
3.038 9.983 0.000
3.038 -9.983 0.000
3.038 3.108 2.992
3.038 -3.108 2.992
3.038 12.361 2.992
3.038 5.988 2.992
3.038 2.837 0.000
3.038 0.000 2.992
3.038 -2.837 0.000
3.038 -5.988 2.992
3.038 -12.361 2.992
```

Properties
- Crystal system: orthorhombic
- Formation energy without anion corrections: -0.977 eV/atom
- Total DFT energy (no corrections): -2.275 eV per atom
- Spin magnetization: 0.0 μB per cell

***

No. 2
This record from the Alexandria database describes a relaxed structure of DyHfI2. The functional is PBE.

Geometry as POSCAR:
```
DyHfI2
1.0
1.829 1.056 10.322
-1.829 1.056 10.322
0.000 -2.112 10.322
Dy Hf I
1 1 2
Cartesian
0.000 0.000 0.000
0.000 0.000 15.483
0.000 0.000 12.593
0.000 0.000 18.374
```

Properties
- Crystal system: trigonal
- Formation energy without anion corrections: -0.190 eV/atom
- Total DFT energy (no corrections): -4.604 eV per atom
- Spin magnetization: 0.5 μB per cell

***

No. 3
This record from the Alexandria database describes a relaxed structure of CsCaInI4. The functional is PBE.

Geometry as POSCAR:
```
CsCaInI4
1.0
8.848 0.000 0.000
0.000 8.448 0.000
-2.904 0.000 10.016
Cs Ca In I
2 2 2 8
Cartesian
2.002 2.112 0.331
3.942 6.336 9.684
1.435 6.336 3.330
4.509 2.112 6.685
0.203 2.112 5.329
5.741 6.336 4.687
-0.618 0.048 2.824
-0.618 4.176 2.824
3.231 6.336 0.984
2.613 6.336 6.080
3.331 2.112 3.936
2.713 2.112 9.032
6.562 4.272 7.191
6.562 8.400 7.191
```

Properties
- Crystal system: monoclinic
- Formation energy without anion corrections: -1.199 eV/atom
- Total DFT energy (no corrections): -2.884 eV per atom
- Spin magnetization: 0.0 μB per cell